# 1
Ta2AlRe | GGA-PBE | relaxed

a = 5.939 Å, b = 5.939 Å, c = 5.939 Å
α = 101.86°, β = 101.86°, γ = 126.08°
Fractional positions:
Ta1 0.085 0.625 0.960
Ta2 0.375 0.335 0.460
Ta3 0.665 0.125 0.040
Ta4 0.875 0.915 0.540
Al1 0.250 0.750 0.500
Al2 0.500 0.500 0.000
Re1 0.000 0.000 0.000
Re2 0.750 0.250 0.500

Its space group is I-42d, No. 122. The formation energy from the elements is 0.558 eV per atom.

# 2
TaAlRe4 | GGA-PBE | relaxed

a = 5.180 Å, b = 5.180 Å, c = 5.180 Å
α = 60.00°, β = 60.00°, γ = 60.00°
Fractional positions:
Ta1 0.000 0.000 0.000
Al1 0.750 0.750 0.750
Re1 0.376 0.376 0.376
Re2 0.376 0.376 0.873
Re3 0.376 0.873 0.376
Re4 0.873 0.376 0.376

Its space group is F-43m, No. 216. The formation energy from the elements is 0.074 eV per atom.

no.,N(E_F) (states/eV/atom),VASP energy (eV for the cell shown),calculated density (Mg/m³)
1,0.4934,-75.3,12.66
2,1.0508,-64.9,16.10